Record 1
PBE-GGA Sr2InRu2, optimized geometry; ΔE_f = 0.110 eV/atom; crystal system = tetragonal
1.0
7.105 0.000 0.000
0.000 7.105 0.000
0.000 0.000 4.929
Ru Sr In
4 4 2
Cartesian
2.706 6.259 0.000
6.259 4.398 0.000
4.398 0.846 0.000
0.846 2.706 0.000
1.257 4.809 2.464
4.809 5.848 2.464
5.848 2.295 2.464
2.295 1.257 2.464
0.000 0.000 0.000
3.552 3.552 0.000


Record 2
PBE-GGA Tl2HgPdI, optimized geometry; raw formation energy = -0.29 eV per atom; crystal system = tetragonal
1.0
-4.594 -2.008 -2.233
1.915 -5.102 0.649
-2.264 -0.231 4.865
I Tl Hg Pd
1 2 1 1
Cartesian
-2.472 -3.671 1.640
0.958 -2.551 0.325
-2.297 -1.004 -1.117
-1.132 -0.115 2.432
0.000 0.000 0.000


Record 3
PBE-GGA ErMg2ScHg4, optimized geometry; ΔE_f = -0.416 eV/atom; crystal system = trigonal
1.0
-1.256 -3.593 -3.209
-0.623 -4.669 1.610
-8.522 -1.225 0.845
Er Mg Sc Hg
1 2 1 4
Cartesian
0.000 0.000 0.000
-7.790 -7.117 -0.567
-2.610 -2.370 -0.187
-5.200 -4.743 -0.377
-8.089 -4.184 0.127
-4.887 -7.679 -1.074
-5.513 -1.808 0.320
-2.312 -5.303 -0.881


What did we get for calculated volume? Answer: 248.79; 161.80; 175.11 Å³ per cell, in the order shown.
What did we get for DFT total energy? Answer: -0.354; -0.194; -0.171 Ry/atom, in the order shown.